No. 1
Below is a relaxed structure of MgPd2Au2, with properties calculated at the GGA-PBE level.

abc: 4.4342 4.4342 10.3593
angles: 90.00 90.00 120.00
Fractional positions:
Mg (0.0000, 0.0000, 0.2500)
Mg (0.0000, 0.0000, 0.7500)
Pd (0.3333, 0.6667, 0.6084)
Pd (0.6667, 0.3333, 0.1084)
Pd (0.6667, 0.3333, 0.3916)
Pd (0.3333, 0.6667, 0.8916)
Au (0.6667, 0.3333, 0.7500)
Au (0.0000, 0.0000, 0.0000)
Au (0.0000, 0.0000, 0.5000)
Au (0.3333, 0.6667, 0.2500)

Properties
The value obtained for the energy of formation from the pure elements is -201 meV/atom. The calculation puts the energy above the lowest structure with this stoichiometry at 217 meV/atom. Its space-group type is No. 194. For the total energy, the calculation gives -19.539 eV per formula unit. As for the total magnetization: 0.000 μB per formula unit.

=====

No. 2
Below is a relaxed structure of PmMgPdAu, with properties calculated at the GGA-PBE level.

abc: 4.6654 5.3126 4.6707
angles: 115.97 119.96 90.00
Fractional positions:
Pm (0.2507, 0.7521, 0.5014)
Mg (0.7465, 0.2394, 0.4931)
Pd (0.0315, 0.0937, 0.0629)
Au (0.4713, 0.4148, 0.9427)

Properties
The value obtained for the energy of formation from the pure elements is -751 meV/atom. Its space-group type is No. 8. For the total energy, the calculation gives -17.820 eV per formula unit. As for the total magnetization: 0.000 μB per formula unit.

=====

Q: What is the total energy in the second record?
A: -17.820 eV per formula unit